Arrangement i

This record from the Alexandria database describes V6ReMo3 after structural relaxation. The functional is GGA-PBE.

Output
- Total magnetization: 0.0000 μB per atom
- Space group: No. 11

Cell lengths 2.9833, 9.1220, 11.7476 Å; angles 112.19, 90.00, 90.00 degrees
Last column: nearest neighbours and their distance in Å.
Element x y z (fractional)
1 V 0.7500 0.1083 0.4808  4 V 2.65-2.79, 2 Mo 2.72, 2 Re 2.81
2 V 0.7500 0.7884 0.0620  3 Mo 2.48-2.58, 2 V 2.71, 2 Re 2.74
3 V 0.2500 0.8917 0.5192  4 V 2.65-2.79, 2 Mo 2.72, 2 Re 2.81
4 V 0.2500 0.5141 0.3235  2 Mo 2.50, 5 V 2.53-2.65
5 V 0.2500 0.6327 0.8598  3 Mo 2.53-2.63, 4 V 2.54-2.71
6 V 0.7500 0.7439 0.3052  2 Re 2.50, 4 V 2.65-2.79, 2 Mo 2.74
7 V 0.2500 0.2116 0.9380  3 Mo 2.48-2.58, 2 V 2.71, 2 Re 2.74
8 V 0.2500 0.2561 0.6948  2 Re 2.50, 4 V 2.65-2.79, 2 Mo 2.74
9 V 0.2500 0.2226 0.2857  3 Mo 2.29-2.56, 1 Re 2.50, 1 V 2.53
10 V 0.7500 0.3673 0.1402  3 Mo 2.53-2.63, 4 V 2.54-2.71
11 V 0.7500 0.4859 0.6765  2 Mo 2.50, 5 V 2.53-2.65
12 V 0.7500 0.7774 0.7143  3 Mo 2.29-2.56, 1 Re 2.50, 1 V 2.53
13 Re 0.2500 0.9414 0.2690  5 V 2.50-2.74
14 Re 0.7500 0.0586 0.7310  5 V 2.50-2.74
15 Mo 0.2500 0.9250 0.8993  4 V 2.48-2.56, 2 Mo 2.69
16 Mo 0.7500 0.6361 0.5061  3 V 2.29-2.50
17 Mo 0.2500 0.3639 0.4939  3 V 2.29-2.50
18 Mo 0.7500 0.4194 0.8992  6 V 2.58-2.74, 2 Mo 2.71
19 Mo 0.2500 0.5806 0.1008  6 V 2.58-2.74, 2 Mo 2.71
20 Mo 0.7500 0.0750 0.1007  4 V 2.48-2.56, 2 Mo 2.69

Arrangement ii

This record from the Alexandria database describes V6ReMo3 after structural relaxation. The functional is GGA-PBE.

Output
- Total magnetization: 0.0000 μB per atom
- Space group: No. 11

Cell lengths 4.3064, 7.4882, 10.1388 Å; angles 119.65, 90.00, 90.00 degrees
Last column: nearest neighbours and their distance in Å.
Element x y z (fractional)
1 Re 0.2500 0.3480 0.3989  8 V 2.61-2.65
2 Re 0.7500 0.6520 0.6011  8 V 2.61-2.65
3 V 0.7500 0.8493 0.8983  4 Mo 2.60-2.63, 1 Re 2.62, 3 V 2.64-2.68
4 V 0.7500 0.0465 0.6988  1 Re 2.61, 5 Mo 2.63-2.68, 2 V 2.63
5 V 0.7500 0.2525 0.4994  1 V 2.62, 3 Re 2.63-2.64, 4 Mo 2.66
6 V 0.2500 0.3490 0.8988  7 Mo 2.62-2.70, 1 V 2.66
7 V 0.2500 0.5516 0.6994  1 V 2.62, 3 Re 2.63-2.65, 4 Mo 2.65-2.67
8 V 0.7500 0.4484 0.3006  1 V 2.62, 3 Re 2.63-2.65, 4 Mo 2.65-2.67
9 V 0.2500 0.1507 0.1017  4 Mo 2.60-2.63, 1 Re 2.62, 3 V 2.64-2.68
10 V 0.7500 0.0530 0.2020  8 V 2.62-2.68
11 V 0.2500 0.7475 0.5006  1 V 2.62, 3 Re 2.63-2.64, 4 Mo 2.66
12 V 0.7500 0.6510 0.1012  7 Mo 2.62-2.70, 1 V 2.66
13 V 0.2500 0.9470 0.7980  8 V 2.62-2.68
14 V 0.2500 0.9535 0.3012  1 Re 2.61, 5 Mo 2.63-2.68, 2 V 2.63
15 Mo 0.7500 0.8505 0.3985  8 V 2.62-2.66
16 Mo 0.2500 0.7571 0.0022  8 V 2.60-2.70
17 Mo 0.2500 0.5483 0.1993  8 V 2.63-2.68
18 Mo 0.7500 0.2429 0.9978  8 V 2.60-2.70
19 Mo 0.7500 0.4517 0.8007  8 V 2.63-2.68
20 Mo 0.2500 0.1495 0.6015  8 V 2.62-2.66

Winner for stability: arrangement ii

Arrangement i

This record from the Alexandria database describes V3ReMo4 after structural relaxation. The functional is GGA-PBE.

Output
- Total magnetization: 0.0000 μB per atom
- Space group: No. 31

Cell lengths 5.3142, 5.2003, 8.7463 Å; angles 90.00, 90.00, 90.00 degrees
Last column: nearest neighbours and their distance in Å.
Element x y z (fractional)
1 Re 0.8166 0.2244 0.0000  4 V 2.55-2.67, 4 Mo 2.65-2.72
2 Re 0.3166 0.7756 0.5000  4 V 2.55-2.67, 4 Mo 2.65-2.72
3 V 0.3153 0.2665 0.5000  2 Re 2.55-2.65, 4 Mo 2.65-2.68, 2 V 2.72
4 V 0.5636 0.0862 0.2506  4 Mo 2.59-2.71, 1 Re 2.67, 3 V 2.72-2.80
5 V 0.0636 0.9138 0.2494  4 Mo 2.59-2.71, 1 Re 2.67, 3 V 2.72-2.80
6 V 0.0636 0.9138 0.7506  4 Mo 2.59-2.71, 1 Re 2.67, 3 V 2.72-2.80
7 V 0.5636 0.0862 0.7494  4 Mo 2.59-2.71, 1 Re 2.67, 3 V 2.72-2.80
8 V 0.8153 0.7335 0.0000  2 Re 2.55-2.65, 4 Mo 2.65-2.68, 2 V 2.72
9 Mo 0.8199 0.7370 0.5000  4 Mo 2.56-2.69, 2 Re 2.65-2.68, 2 V 2.71
10 Mo 0.5615 0.5888 0.2509  3 V 2.59-2.68, 4 Mo 2.69-2.81, 1 Re 2.72
11 Mo 0.5615 0.5888 0.7491  3 V 2.59-2.68, 4 Mo 2.69-2.81, 1 Re 2.72
12 Mo 0.3199 0.2630 0.0000  4 Mo 2.56-2.69, 2 Re 2.65-2.68, 2 V 2.71
13 Mo 0.3133 0.7708 0.0000  4 Mo 2.56-2.73, 4 V 2.65-2.67
14 Mo 0.0615 0.4112 0.2491  3 V 2.59-2.68, 4 Mo 2.69-2.81, 1 Re 2.72
15 Mo 0.8133 0.2292 0.5000  4 Mo 2.56-2.73, 4 V 2.65-2.67
16 Mo 0.0615 0.4112 0.7509  3 V 2.59-2.68, 4 Mo 2.69-2.81, 1 Re 2.72

Arrangement ii

This record from the Alexandria database describes V3ReMo4 after structural relaxation. The functional is GGA-PBE.

Output
- Total magnetization: 0.0000 μB per atom
- Space group: No. 12

Cell lengths 2.6644, 8.8057, 7.6596 Å; angles 125.09, 117.96, 90.00 degrees
Last column: nearest neighbours and their distance in Å.
Element x y z (fractional)
1 Mo 0.4785 0.6220 0.7463  3 V 2.59-2.75, 4 Mo 2.65-2.78, 1 Re 2.71
2 Mo 0.5215 0.3780 0.2537  3 V 2.59-2.75, 4 Mo 2.65-2.78, 1 Re 2.71
3 Mo 0.4785 0.1242 0.7463  3 V 2.59-2.75, 4 Mo 2.65-2.78, 1 Re 2.71
4 Mo 0.5215 0.8758 0.2537  3 V 2.59-2.75, 4 Mo 2.65-2.78, 1 Re 2.71
5 V 0.5160 0.2453 0.4906  3 V 2.66-2.67, 4 Mo 2.67-2.75, 1 Re 2.69
6 V 0.0000 0.5000 0.0000  4 Mo 2.59, 4 V 2.66-2.67
7 V 0.4840 0.7547 0.5094  3 V 2.66-2.67, 4 Mo 2.67-2.75, 1 Re 2.69
8 Re 0.5000 0.0000 0.0000  2 Re 2.66, 2 V 2.69, 4 Mo 2.71

Winner for stability: arrangement ii

Arrangement i

This record from the Alexandria database describes V3ReMo after structural relaxation. The functional is GGA-PBE.

Output
- Total magnetization: 0.0952 μB per atom
- Space group: No. 221

Cell lengths 4.4336, 4.4336, 4.4336 Å; angles 90.00, 90.00, 90.00 degrees
Last column: nearest neighbours and their distance in Å.
Element x y z (fractional)
1 V 0.0000 0.0000 0.5000  2 Mo 2.22
2 V 0.0000 0.5000 0.0000  2 Mo 2.22
3 V 0.5000 0.0000 0.0000  2 Mo 2.22
4 Re 0.5000 0.5000 0.5000  12 V 3.14
5 Mo 0.0000 0.0000 0.0000  6 V 2.22

Arrangement ii

This record from the Alexandria database describes V3ReMo after structural relaxation. The functional is GGA-PBE.

Output
- Total magnetization: 0.0000 μB per atom
- Space group: No. 2

Cell lengths 5.0793, 5.3378, 6.7721 Å; angles 74.20, 65.55, 58.31 degrees
Last column: nearest neighbours and their distance in Å.
Element x y z (fractional)
1 V 0.8142 0.9494 0.5366  3 V 2.58-2.65, 2 Re 2.64-2.65, 3 Mo 2.64-2.69
2 V 0.4147 0.5476 0.3366  2 Mo 2.57-2.64, 5 V 2.62-2.68, 1 Re 2.63
3 V 0.4139 0.0497 0.3382  6 V 2.58-2.68, 1 Re 2.61, 1 Mo 2.63
4 V 0.0125 0.1467 0.1410  6 V 2.58-2.68, 1 Re 2.61, 1 Mo 2.63
5 V 0.0117 0.6488 0.1425  2 Mo 2.57-2.64, 5 V 2.62-2.68, 1 Re 2.63
6 V 0.6121 0.2470 0.9425  3 V 2.58-2.65, 2 Re 2.64-2.65, 3 Mo 2.64-2.69
7 Re 0.2116 0.8491 0.7386  4 V 2.61-2.65, 2 Re 2.67, 2 Mo 2.67
8 Re 0.2148 0.3474 0.7405  4 V 2.61-2.65, 2 Re 2.67, 2 Mo 2.67
9 Mo 0.8154 0.4462 0.5354  6 V 2.57-2.69, 2 Re 2.67
10 Mo 0.6110 0.7503 0.9437  6 V 2.57-2.69, 2 Re 2.67

Arrangement iii

This record from the Alexandria database describes V3ReMo after structural relaxation. The functional is GGA-PBE.

Output
- Total magnetization: 0.0000 μB per atom
- Space group: No. 63

Cell lengths 4.2723, 4.7120, 7.5429 Å; angles 90.00, 106.48, 90.00 degrees
Last column: nearest neighbours and their distance in Å.
Element x y z (fractional)
1 V 0.5000 0.5000 0.0000  6 V 2.36-2.57, 2 Mo 2.59
2 V 0.9438 0.7500 0.8883  6 V 2.57-2.86, 2 Mo 2.61, 3 Re 2.63-2.79
3 V 0.2611 0.2500 0.5221  4 Mo 2.59-2.62, 2 Re 2.60
4 V 0.5000 0.0000 0.0000  6 V 2.36-2.57, 2 Mo 2.59
5 V 0.0562 0.2500 0.1117  6 V 2.57-2.86, 2 Mo 2.61, 3 Re 2.63-2.79
6 V 0.7389 0.7500 0.4779  4 Mo 2.59-2.62, 2 Re 2.60
7 Mo 0.3406 0.7500 0.6816  8 V 2.59-2.62
8 Mo 0.6594 0.2500 0.3184  8 V 2.59-2.62
9 Re 0.8633 0.2500 0.7260  5 V 2.60-2.79
10 Re 0.1367 0.7500 0.2740  5 V 2.60-2.79

Winner for stability: arrangement ii

Arrangement i

This record from the Alexandria database describes VRe2Mo3 after structural relaxation. The functional is GGA-PBE.

Output
- Total magnetization: 0.0000 μB per atom
- Space group: No. 11

Cell lengths 4.3995, 5.4187, 8.1073 Å; angles 109.58, 90.00, 90.00 degrees
Last column: nearest neighbours and their distance in Å.
Element x y z (fractional)
1 Mo 0.7500 0.6252 0.2501  5 Mo 2.70-2.71, 2 V 2.71, 1 Re 2.71
2 Mo 0.2500 0.8732 0.4181  1 V 2.69, 4 Mo 2.70, 3 Re 2.70-2.72
3 Mo 0.2500 0.3748 0.7499  5 Mo 2.70-2.71, 2 V 2.71, 1 Re 2.71
4 Mo 0.2500 0.3705 0.0822  5 Re 2.66-2.76, 3 Mo 2.70-2.71
5 Mo 0.7500 0.1268 0.5819  1 V 2.69, 4 Mo 2.70, 3 Re 2.70-2.72
6 Mo 0.7500 0.6295 0.9178  5 Re 2.66-2.76, 3 Mo 2.70-2.71
7 Re 0.2500 0.8801 0.0841  5 Mo 2.66-2.76, 3 V 2.69-2.70
8 Re 0.2500 0.3730 0.4147  2 V 2.69, 4 Mo 2.69-2.72, 2 Re 2.71
9 Re 0.7500 0.1199 0.9159  5 Mo 2.66-2.76, 3 V 2.69-2.70
10 Re 0.7500 0.6270 0.5853  2 V 2.69, 4 Mo 2.69-2.72, 2 Re 2.71
11 V 0.2500 0.8749 0.7498  5 Re 2.69-2.70, 3 Mo 2.69-2.71
12 V 0.7500 0.1251 0.2502  5 Re 2.69-2.70, 3 Mo 2.69-2.71

Arrangement ii

This record from the Alexandria database describes VRe2Mo3 after structural relaxation. The functional is GGA-PBE.

Output
- Total magnetization: 0.0000 μB per atom
- Space group: No. 63

Cell lengths 9.1506, 4.6770, 4.6770 Å; angles 112.55, 90.00, 90.00 degrees
Last column: nearest neighbours and their distance in Å.
Element x y z (fractional)
1 V 0.7196 0.7673 0.7673  2 Re 2.54, 2 Mo 2.68
2 V 0.2196 0.2327 0.2327  2 Re 2.54, 2 Mo 2.68
3 Mo 0.4697 0.1641 0.8360  2 Mo 2.55-2.61, 4 Re 2.71-2.85
4 Mo 0.9696 0.5000 0.5000  6 Mo 2.61-2.89, 2 V 2.68, 4 Re 2.89
5 Mo 0.9697 0.8359 0.1640  2 Mo 2.55-2.61, 4 Re 2.71-2.85
6 Mo 0.9697 0.1640 0.8359  2 Mo 2.55-2.61, 4 Re 2.71-2.85
7 Mo 0.4697 0.8360 0.1641  2 Mo 2.55-2.61, 4 Re 2.71-2.85
8 Mo 0.4696 0.5000 0.5000  6 Mo 2.61-2.89, 2 V 2.68, 4 Re 2.89
9 Re 0.7197 0.1068 0.4535  1 V 2.54, 1 Re 2.70, 2 Mo 2.71
10 Re 0.2197 0.8932 0.5465  1 V 2.54, 1 Re 2.70, 2 Mo 2.71
11 Re 0.2197 0.5465 0.8932  1 V 2.54, 1 Re 2.70, 2 Mo 2.71
12 Re 0.7197 0.4535 0.1068  1 V 2.54, 1 Re 2.70, 2 Mo 2.71

Winner for stability: arrangement i

Arrangement i

This record from the Alexandria database describes V3Re2Mo after structural relaxation. The functional is GGA-PBE.

Output
- Total magnetization: 0.0000 μB per atom
- Space group: No. 74

Cell lengths 4.3111, 7.4704, 7.4706 Å; angles 120.00, 106.77, 106.77 degrees
Last column: nearest neighbours and their distance in Å.
Element x y z (fractional)
1 Re 0.2500 0.2488 0.7512  8 V 2.63-2.65
2 Re 0.7500 0.0830 0.9170  8 V 2.64-2.65
3 Re 0.7500 0.7512 0.2488  8 V 2.63-2.65
4 Re 0.2500 0.9170 0.0830  8 V 2.64-2.65
5 Mo 0.2500 0.5844 0.4156  8 V 2.63-2.66
6 Mo 0.7500 0.4156 0.5844  8 V 2.63-2.66
7 V 0.0000 0.1662 0.3333  5 Re 2.63-2.65, 3 Mo 2.64-2.66
8 V 0.0000 0.8338 0.6667  5 Re 2.63-2.65, 3 Mo 2.64-2.66
9 V 0.5000 0.3333 0.1662  5 Re 2.63-2.65, 3 Mo 2.64-2.66
10 V 0.0000 0.5000 0.0000  2 Mo 2.63, 6 Re 2.64
11 V 0.5000 0.6667 0.8338  5 Re 2.63-2.65, 3 Mo 2.64-2.66
12 V 0.5000 0.0000 0.5000  2 Mo 2.63, 6 Re 2.64-2.65

Arrangement ii

This record from the Alexandria database describes V3Re2Mo after structural relaxation. The functional is GGA-PBE.

Output
- Total magnetization: 0.0000 μB per atom
- Space group: No. 123

Cell lengths 3.0476, 3.0476, 9.1766 Å; angles 90.00, 90.00, 90.00 degrees
Last column: nearest neighbours and their distance in Å.
Element x y z (fractional)
1 V 0.0000 0.0000 0.6684  4 Re 2.64, 4 Mo 2.65
2 V 0.0000 0.0000 0.3316  4 Re 2.64, 4 Mo 2.65
3 V 0.0000 0.0000 0.0000  8 Re 2.64
4 Mo 0.5000 0.5000 0.5000  8 V 2.65
5 Re 0.5000 0.5000 0.8343  8 V 2.64
6 Re 0.5000 0.5000 0.1657  8 V 2.64

Winner for stability: arrangement i